# NdGd2Mg4Tl2, relaxed, DFT GGA-PBE
# **DFT total energy**: -27.325 eV/f.u.
# **V**: 479.2 Å³/cell
data_NdGd2Mg4Tl2
_cell_length_a 4.708
_cell_length_b 13.346
_cell_length_c 7.627
_cell_angle_alpha 90.00
_cell_angle_beta 90.00
_cell_angle_gamma 90.00
_space_group_name_H-M_alt 'A m m 2'
_space_group_IT_number 38
loop_
_space_group_symop_operation_xyz
'x,y,z'
'-x,-y,z'
'-x,y,z'
'x,-y,z'
'x,y+1/2,z+1/2'
'-x,-y+1/2,z+1/2'
'-x,y+1/2,z+1/2'
'x,-y+1/2,z+1/2'
loop_
_atom_site_label
_atom_site_type_symbol
_atom_site_fract_x
_atom_site_fract_y
_atom_site_fract_z
Nd1 Nd 0.000 0.000 0.000
Gd1 Gd 0.000 0.216 0.646
Mg1 Mg 0.000 0.000 0.436
Mg2 Mg 0.500 0.000 0.675
Mg3 Mg 0.500 0.121 0.310
Tl1 Tl 0.500 0.169 0.929

---

# KAsAuO, relaxed, DFT GGA-PBE
# **DFT total energy**: -13.925 eV/f.u.
# **V**: 177.6 Å³/cell
data_KAsAuO
_cell_length_a 4.466
_cell_length_b 4.466
_cell_length_c 8.903
_cell_angle_alpha 90.00
_cell_angle_beta 90.00
_cell_angle_gamma 90.00
_space_group_name_H-M_alt 'P 4/n m m'
_space_group_IT_number 129
loop_
_space_group_symop_operation_xyz
'x,y,z'
'-x,-y,-z'
'-y+1/2,x,z'
'y+1/2,-x,-z'
'-x+1/2,-y+1/2,z'
'x+1/2,y+1/2,-z'
'y,-x+1/2,z'
'-y,x+1/2,-z'
'x+1/2,-y,-z'
'-x+1/2,y,z'
'-y,-x,-z'
'y,x,z'
'-x,y+1/2,-z'
'x,-y+1/2,z'
'y+1/2,x+1/2,-z'
'-y+1/2,-x+1/2,z'
loop_
_atom_site_label
_atom_site_type_symbol
_atom_site_fract_x
_atom_site_fract_y
_atom_site_fract_z
K1 K 0.250 0.750 0.000
As1 As 0.250 0.250 0.456
Au1 Au 0.250 0.250 0.748
O1 O 0.250 0.750 0.500

---

# CsCuB, relaxed, DFT GGA-PBE
# **DFT total energy**: -5.888 eV/f.u.
# **V**: 333.0 Å³/cell
data_CsCuB
_cell_length_a 6.931
_cell_length_b 6.931
_cell_length_c 6.931
_cell_angle_alpha 90.00
_cell_angle_beta 90.00
_cell_angle_gamma 90.00
_space_group_name_H-M_alt 'F -4 3 m'
_space_group_IT_number 216
_space_group_name_Hall 'F -4 2 3'
loop_
_atom_site_label
_atom_site_type_symbol
_atom_site_fract_x
_atom_site_fract_y
_atom_site_fract_z
Cs1 Cs 0.000 0.000 0.000
Cu1 Cu 0.000 0.000 0.500
B1 B 0.250 0.250 0.250

---

# GdAgO2, relaxed, DFT GGA-PBE
# **DFT total energy**: -26.378 eV/f.u.
# **V**: 203.4 Å³/cell
data_GdAgO2
_cell_length_a 3.5411
_cell_length_b 3.5411
_cell_length_c 18.7281
_cell_angle_alpha 90.00
_cell_angle_beta 90.00
_cell_angle_gamma 120.00
_space_group_name_H-M_alt 'R -3 m'
_space_group_IT_number 166
_space_group_name_Hall '-R 3 2"'
loop_
_atom_site_label
_atom_site_type_symbol
_atom_site_fract_x
_atom_site_fract_y
_atom_site_fract_z
Gd1 Gd 0.0000 0.0000 0.0000
Ag1 Ag 0.0000 0.0000 0.5000
O1 O 0.0000 0.0000 0.3898

---

Q: Which formula does entry 2 have?
A: KAsAuO

---

Q: Which of these has the highest DFT total energy?
A: CsCuB